Entry 1:
BaSr2Cu | GGA-PBE | relaxed

Lattice parameters (Å, degrees): 6.9836 6.9836 6.9836 135.19 135.19 65.23
Fractional coordinates of all 4 atoms:
Sr 0.2500 0.7500 0.5000
Sr 0.0000 0.0000 0.0000
Cu 0.7500 0.2500 0.5000
Ba 0.5000 0.5000 0.0000

Results
Its crystal system is tetragonal. The space-group type is I-4m2 (119). The value obtained for the distance to the lowest polymorph of the same formula is 290.0 meV/atom. The energy relative to the elements is 0.29 eV/atom.

---

Entry 2:
ScNi3H | GGA-PBE | relaxed

Lattice parameters (Å, degrees): 3.4665 3.4665 5.8876 90.00 90.00 90.00
Fractional coordinates of all 5 atoms:
Ni 0.0000 0.5000 0.4717
Sc 0.0000 0.0000 0.1432
Ni 0.5000 0.0000 0.4717
Ni 0.0000 0.0000 0.7593
H 0.5000 0.5000 0.4179

Results
Its crystal system is tetragonal. The space-group type is P4mm (99). The value obtained for the distance to the lowest polymorph of the same formula is 638.3 meV/atom.

---

Entry 3:
BaSc2Si | GGA-PBE | relaxed

Lattice parameters (Å, degrees): 4.2666 4.2666 8.2356 74.88 74.88 60.09
Fractional coordinates of all 4 atoms:
Sc 0.0383 0.0383 0.8847
Sc 0.4617 0.4617 0.6153
Si 0.7500 0.7500 0.7500
Ba 0.2500 0.2500 0.2500

Results
Its crystal system is monoclinic. The space-group type is C2/m (12). Its raw formation energy is -0.5 eV per formula unit.

---

Entry 4:
Tl2RhPbO8 | GGA-PBE | relaxed

Lattice parameters (Å, degrees): 5.0661 4.9309 6.7623 90.00 90.00 91.93
Last column: magnetic moment on the atom in μB.
Fractional coordinates of all 12 atoms:
O 0.8459 0.2034 0.2205  0.10
Tl 0.5000 0.5000 0.7558  0.00
O 0.3306 0.2779 0.5000  0.01
O 0.1541 0.7966 0.2205  0.10
Tl 0.5000 0.5000 0.2442  0.00
O 0.1541 0.7966 0.7795  0.10
O 0.3063 0.2482 0.0000  -0.01
O 0.6694 0.7221 0.5000  0.01
Rh 0.0000 0.0000 0.0000  0.46
O 0.8459 0.2034 0.7795  0.10
Pb 0.0000 0.0000 0.5000  -0.01
O 0.6937 0.7518 0.0000  -0.01

Results
Its crystal system is monoclinic. The space-group type is P2/m (10). Its raw formation energy is -6.3 eV per formula unit.

---

Entry 5:
Cu3BOs | GGA-PBE | relaxed

Lattice parameters (Å, degrees): 3.9015 3.9015 3.9015 90.00 90.00 90.00
Fractional coordinates of all 5 atoms:
B 0.0000 0.0000 0.0000
Cu 0.0000 0.5000 0.0000
Cu 0.5000 0.0000 0.0000
Cu 0.0000 0.0000 0.5000
Os 0.5000 0.5000 0.5000

Results
Its crystal system is cubic. The space-group type is Pm-3m (221). The energy relative to the elements is 0.74 eV/atom.

---

Entry 6:
CdIn2Pb2 | GGA-PBE | relaxed

Lattice parameters (Å, degrees): 5.0034 5.0034 7.4358 70.34 70.34 90.00
Fractional coordinates of all 5 atoms:
In 0.3922 0.3922 0.2156
Pb 0.7500 0.2500 0.5000
Cd 0.0000 0.0000 0.0000
Pb 0.2500 0.7500 0.5000
In 0.6078 0.6078 0.7844

Results
Its crystal system is tetragonal. The space-group type is I4/mmm (139). The value obtained for the distance to the lowest polymorph of the same formula is 164.2 meV/atom. The energy relative to the elements is 0.18 eV/atom.

---

Entry 7:
EuDySn | GGA-PBE | relaxed

Lattice parameters (Å, degrees): 4.1376 4.1376 5.9607 110.31 110.31 90.00
Last column: magnetic moment on the atom in μB.
Fractional coordinates of all 3 atoms:
Dy 0.9691 0.9691 0.9382  0.54
Eu 0.2743 0.2743 0.5485  7.02
Sn 0.6067 0.6067 0.2133  -0.05

Results
Its crystal system is tetragonal. The space-group type is I4mm (107). The value obtained for the distance to the lowest polymorph of the same formula is 0.0 meV/atom. The energy relative to the elements is -0.40 eV/atom.

---

Entry 8:
Sr2InNiTe | GGA-PBE | relaxed

Lattice parameters (Å, degrees): 5.7005 5.7005 4.8687 90.00 90.00 90.00
Fractional coordinates of all 5 atoms:
Ni 0.0000 0.0000 0.0000
Sr 0.0000 0.5000 0.0000
Te 0.5000 0.5000 0.5000
Sr 0.5000 0.0000 0.0000
In 0.0000 0.0000 0.5000

Results
Its crystal system is tetragonal. The space-group type is P4/mmm (123). Its raw formation energy is -2.9 eV per formula unit.

---

Entry 9:
AsP2Cl | GGA-PBE | relaxed

Lattice parameters (Å, degrees): 4.5465 3.6824 6.2908 69.35 90.00 90.00
Fractional coordinates of all 4 atoms:
As 0.0000 0.4278 0.3710
P 0.5000 0.2728 0.1682
P 0.0000 0.0828 0.1109
Cl 0.5000 0.7166 0.8499

Results
Its crystal system is monoclinic. The space-group type is Pm (6). The value obtained for the distance to the lowest polymorph of the same formula is 100.1 meV/atom. Its raw formation energy is 0.4 eV per formula unit.

---

Entry 10:
Tl2CuAg | GGA-PBE | relaxed

Lattice parameters (Å, degrees): 4.1539 4.0259 5.7048 71.27 90.00 90.00
Fractional coordinates of all 4 atoms:
Tl 0.5000 0.2739 0.3167
Cu 0.5000 0.5389 0.7911
Ag 0.0000 0.6993 0.4783
Tl 0.0000 0.9878 0.9139

Results
Its crystal system is monoclinic. The space-group type is Pm (6). The value obtained for the distance to the lowest polymorph of the same formula is 21.3 meV/atom. The energy relative to the elements is 0.19 eV/atom.

---

Entry 11:
Tb2HO | GGA-PBE | relaxed

Lattice parameters (Å, degrees): 3.4444 3.4444 6.2777 74.08 74.08 60.00
Last column: magnetic moment on the atom in μB.
Fractional coordinates of all 4 atoms:
O 0.5004 0.5004 0.4988  0.01
Tb 0.2516 0.2516 0.2452  0.18
H 0.6703 0.6703 0.9891  0.00
Tb 0.0777 0.0777 0.7669  0.06

Results
Its crystal system is trigonal. The space-group type is R3m (160). The value obtained for the distance to the lowest polymorph of the same formula is 152.8 meV/atom.

---

Entry 12:
K2BeS2 | GGA-PBE | relaxed

Lattice parameters (Å, degrees): 6.0784 6.0784 7.1266 64.76 64.76 90.00
Fractional coordinates of all 5 atoms:
K 0.7500 0.2500 0.5000
S 0.1648 0.1648 0.6703
S 0.8352 0.8352 0.3297
Be 0.0000 0.0000 0.0000
K 0.2500 0.7500 0.5000

Results
Its crystal system is tetragonal. The space-group type is I4/mmm (139). The value obtained for the distance to the lowest polymorph of the same formula is 104.9 meV/atom. Its raw formation energy is -5.2 eV per formula unit.

---

no.,Fermi-level density of states (states/eV/atom)
1,1.202
2,0.226
3,1.210
4,0.496
5,0.927
6,0.414
7,1.005
8,0.532
9,0.146
10,0.246
11,0.743
12,0.000